[1]
Computed, not measured: a PBEsol-optimized structure of TaIrBr2 at the meta-GGA SCAN level of DFT.

Cell and atoms, written as extended XYZ:
```
4
Lattice="-1.6348 2.8816 4.8439 1.6348 -2.8816 4.8439 1.6348 2.8816 -4.8439" Properties=species:S:1:pos:R:3 pbc="T T T"
Ta 0.0000 0.0000 0.0000
Ir 1.6348 0.0000 1.6988
Br 0.0000 0.0000 4.2808
Br 0.0000 2.8816 2.6516
```

Output
Energy above the most stable polymorph in this dataset, meV/atom: 769.6
ΔE_f (raw), meV per atom: 222
Total magnetic moment, μB/f.u.: 0.00
Final energy, eV/atom: -43.929


[2]
Computed, not measured: a PBEsol-optimized structure of KCoPt2 at the meta-GGA SCAN level of DFT.

Cell and atoms, written as extended XYZ:
```
4
Lattice="2.6826 0.0000 0.0000 0.0000 3.8621 0.0000 0.0000 0.0000 7.2411" Properties=species:S:1:pos:R:3 pbc="T T T"
K 0.0000 0.0000 0.0000
Co 1.3413 1.9311 4.7314
Pt 0.0000 0.0000 3.7995
Pt 1.3413 1.9311 2.2670
```

Output
Energy above the most stable polymorph in this dataset, meV/atom: 0.0
Total magnetic moment, μB/f.u.: 2.50
Final energy, eV/atom: -41.305


[3]
Computed, not measured: a PBEsol-optimized structure of SrCoP4 at the meta-GGA SCAN level of DFT.

Cell and atoms, written as extended XYZ:
```
6
Lattice="0.0000 3.7073 3.7073 3.7073 0.0000 3.7073 3.7073 3.7073 0.0000" Properties=species:S:1:pos:R:3 pbc="T T T"
Sr 0.0000 0.0000 0.0000
Co 1.8537 1.8537 1.8537
P 4.5527 2.8620 2.8620
P 2.8620 4.5527 2.8620
P 2.8620 2.8620 4.5527
P 4.5527 4.5527 4.5527
```

Output
Total magnetic moment, μB/f.u.: 1.98
Final energy, eV/atom: -13.271


[4]
Computed, not measured: a PBEsol-optimized structure of MnNbSe2 at the meta-GGA SCAN level of DFT.

Cell and atoms, written as extended XYZ:
```
4
Lattice="1.6608 0.9588 8.3081 -1.6608 0.9588 8.3081 0.0000 -1.9177 8.3081" Properties=species:S:1:pos:R:3 pbc="T T T"
Mn 0.0000 0.0000 0.0000
Nb 0.0000 0.0000 12.4621
Se 0.0000 0.0000 2.4080
Se 0.0000 0.0000 22.5162
```

Output
ΔE_f (raw), meV per atom: -473
Total magnetic moment, μB/f.u.: 4.09
Final energy, eV/atom: -23.358


[5]
Computed, not measured: a PBEsol-optimized structure of BeRu at the meta-GGA SCAN level of DFT.

Cell and atoms, written as extended XYZ:
```
2
Lattice="0.0000 2.2223 2.2223 2.2223 0.0000 2.2223 2.2223 2.2223 0.0000" Properties=species:S:1:pos:R:3 pbc="T T T"
Be 0.0000 0.0000 0.0000
Ru 2.2223 2.2223 2.2223
```

Output
Total magnetic moment, μB/f.u.: 0.82
Final energy, eV/atom: -19.480


[6]
Computed, not measured: a PBEsol-optimized structure of Dy2P4O13 at the meta-GGA SCAN level of DFT.

Cell and atoms, written as extended XYZ:
```
38
Lattice="5.8936 -3.3619 0.0000 5.8936 3.3619 0.0000 -3.6946 0.0000 12.3123" Properties=species:S:1:pos:R:3 pbc="T T T"
Dy 2.0682 0.0191 0.5889
Dy 0.2209 -0.0191 6.7451
Dy 7.8718 0.0191 5.5672
Dy 6.0245 -0.0191 11.7234
P 1.8374 0.0717 4.1625
P -0.0099 -0.0717 10.3186
P 5.2702 1.0577 1.6438
P 4.6698 1.0577 4.5123
P 3.4229 -1.0577 7.7999
P 2.8225 -1.0577 10.6685
P 8.1026 0.0717 1.9937
P 6.2553 -0.0717 8.1498
O 1.2857 1.2465 4.9727
O -0.4156 1.1664 11.1245
O 5.6185 2.2138 0.7100
O 4.3215 2.2138 5.4462
O 1.4691 0.0417 2.7074
O -0.3782 -0.0417 8.8635
O 4.9700 1.7177 3.0781
O 4.1948 0.1087 1.2445
O 3.4336 0.1181 4.2433
O 2.3475 -0.1087 7.4006
O 1.5863 -0.1181 10.3995
O -0.5615 -1.2465 11.1289
O 1.4317 -1.1664 4.9683
O 6.6610 1.1664 7.3439
O 8.6542 1.2465 1.1834
O 6.5064 0.1181 1.9128
O 5.7452 0.1087 4.9117
O 4.6591 -0.1181 8.0689
O 3.8979 -0.1087 11.0678
O 3.1227 -1.7177 9.2342
O 8.4709 0.0417 3.4487
O 6.6236 -0.0417 9.6049
O 3.7712 -2.2138 6.8661
O 2.4742 -2.2138 11.6023
O 8.5083 -1.1664 1.1878
O 6.8070 -1.2465 7.3395
```

Output
Energy above the most stable polymorph in this dataset, meV/atom: 16.0
ΔE_f (raw), meV per atom: -2956
Total magnetic moment, μB/f.u.: 0.00
Final energy, eV/atom: -14.440


[7]
Computed, not measured: a PBEsol-optimized structure of GeAsBr2 at the meta-GGA SCAN level of DFT.

Cell and atoms, written as extended XYZ:
```
4
Lattice="1.7013 0.9822 9.4749 -1.7013 0.9822 9.4749 0.0000 -1.9645 9.4749" Properties=species:S:1:pos:R:3 pbc="T T T"
Ge 0.0000 0.0000 0.0000
As 0.0000 0.0000 14.2124
Br 0.0000 0.0000 11.6121
Br 0.0000 0.0000 16.8127
```

Output
ΔE_f (raw), meV per atom: 228
Total magnetic moment, μB/f.u.: 0.00
Final energy, eV/atom: -19.321


[8]
Computed, not measured: a PBEsol-optimized structure of SrAlO2 at the meta-GGA SCAN level of DFT.

Cell and atoms, written as extended XYZ:
```
4
Lattice="1.5304 0.8836 6.5974 -1.5304 0.8836 6.5974 0.0000 -1.7671 6.5974" Properties=species:S:1:pos:R:3 pbc="T T T"
Sr 0.0000 0.0000 0.0000
Al 0.0000 0.0000 9.8961
O 0.0000 0.0000 2.3601
O 0.0000 0.0000 17.4320
```

Output
ΔE_f (raw), meV per atom: -2198
Total magnetic moment, μB/f.u.: 0.22
Final energy, eV/atom: -12.820


Summary of calculated volume in Å³/cell
91, 75, 102, 79, 22, 488, 95, 54
(order as listed above)
Summary of theoretical density in g/cm³
9.70, 10.81, 4.41, 6.40, 8.33, 4.47, 5.37, 4.55
(order as listed above)